Record 1
Material: BeMoP2
Method: DFT, meta-GGA SCAN
State: PBEsol geometry

Fermi-level density of states: 1.16 states/eV/f.u.
magnetization: 0.000 μB per formula unit
final energy: -1.107 Ry/atom

Geometry as POSCAR:
```
BeMoP2
1.0
3.6345 0.0000 0.0000
0.0000 1.5379 4.6166
0.0000 -1.5379 4.6166
Be Mo P
1 1 2
Direct
0.0000 0.0000 0.0000
0.5000 0.6172 0.6172
0.0000 0.2250 0.2250
0.5000 0.8973 0.8973
```

---

Record 2
Material: TiBeMoP2
Method: DFT, meta-GGA SCAN
State: PBEsol geometry

Fermi-level density of states: 4.17 states/eV/f.u.
magnetization: 0.000 μB per formula unit
final energy: -1.070 Ry/atom

Geometry as POSCAR:
```
TiBeMoP2
1.0
4.1523 0.0000 0.0000
0.0000 4.1523 0.0000
0.0000 0.0000 3.9067
Ti Be Mo P
1 1 1 2
Direct
0.0000 0.0000 0.0000
0.0000 0.0000 0.5000
0.5000 0.5000 0.0000
0.0000 0.5000 0.5000
0.5000 0.0000 0.5000
```

---

Record 3
Material: BeMo2Pb
Method: DFT, meta-GGA SCAN
State: PBEsol geometry

Fermi-level density of states: 2.62 states/eV/f.u.
magnetization: 0.000 μB per formula unit
final energy: -2.700 Ry/atom

Geometry as POSCAR:
```
BeMo2Pb
1.0
2.7144 -4.4370 0.0000
2.7144 4.4370 0.0000
-0.9688 0.0000 2.6880
Be Mo Pb
1 2 1
Direct
0.0000 0.0000 0.0000
0.0000 0.5000 0.5000
0.5000 0.0000 0.5000
0.5000 0.5000 0.0000
```

---

Record 4
Material: BeMo2Pb
Method: DFT, meta-GGA SCAN
State: PBEsol geometry

Fermi-level density of states: 3.02 states/eV/f.u.
magnetization: 0.000 μB per formula unit
final energy: -2.694 Ry/atom

Geometry as POSCAR:
```
BeMo2Pb
1.0
2.6301 -4.1024 0.0000
2.6301 4.1024 0.0000
0.0000 0.0000 2.9775
Be Mo Pb
1 2 1
Direct
0.0000 0.0000 0.0000
0.0000 0.5000 0.5000
0.5000 0.0000 0.5000
0.5000 0.5000 0.0000
```

---

Record 5
Material: BeMo2Pb
Method: DFT, meta-GGA SCAN
State: PBEsol geometry

Fermi-level density of states: 1.69 states/eV/f.u.
magnetization: 0.000 μB per formula unit
final energy: -2.733 Ry/atom

Geometry as POSCAR:
```
BeMo2Pb
1.0
3.1866 0.0000 0.0000
0.0000 3.1866 0.0000
0.0000 0.0000 6.3538
Be Mo Pb
1 2 1
Direct
0.0000 0.0000 0.0000
0.0000 0.0000 0.3848
0.5000 0.5000 0.1651
0.5000 0.5000 0.6988
```

---

Record 6
Material: BeMo2Pb
Method: DFT, meta-GGA SCAN
State: PBEsol geometry

Fermi-level density of states: 2.76 states/eV/f.u.
magnetization: 0.000 μB per formula unit
final energy: -2.709 Ry/atom

Geometry as POSCAR:
```
BeMo2Pb
1.0
3.1848 0.0000 0.0000
-1.5797 4.2648 0.0000
-0.0018 -1.0419 4.9919
Be Mo Pb
1 2 1
Direct
0.0000 0.0000 0.0000
0.4647 0.9296 0.3647
0.7447 0.4887 0.1828
0.2361 0.4733 0.6989
```

---

Record 7
Material: Be3MoPb
Method: DFT, meta-GGA SCAN
State: PBEsol geometry

Fermi-level density of states: 3.34 states/eV/f.u.
magnetization: 3.488 μB per formula unit
final energy: -1.687 Ry/atom

Geometry as POSCAR:
```
Be3MoPb
1.0
4.4532 0.0000 0.0000
0.0000 4.4532 0.0000
0.0000 0.0000 4.4532
Be Mo Pb
3 1 1
Direct
0.0000 0.0000 0.5000
0.0000 0.5000 0.0000
0.5000 0.0000 0.0000
0.5000 0.5000 0.5000
0.0000 0.0000 0.0000
```

---

Record 8
Material: Be2MoPt
Method: DFT, meta-GGA SCAN
State: PBEsol geometry

Fermi-level density of states: 2.07 states/eV/f.u.
magnetization: 0.000 μB per formula unit
final energy: -2.118 Ry/atom

Geometry as POSCAR:
```
Be2MoPt
1.0
4.1346 0.0000 0.0000
0.0000 4.1346 0.0000
0.0000 0.0000 2.6734
Be Mo Pt
2 1 1
Direct
0.0000 0.5000 0.0000
0.5000 0.0000 0.0000
0.0000 0.0000 0.5000
0.5000 0.5000 0.5000
```